1.
# Cu3AsCl

Crystalline Cu3AsCl at its relaxed geometry (PBE, the Alexandria database).

DFT total energy, eV per atom: -3.062
E_form (uncorrected), eV/atom: 0.695
Volume, Å³/f.u.: 88.7
Symmetry: Pm-3m

Unit cell a=4.4598 b=4.4598 c=4.4598 alpha=90.00 beta=90.00 gamma=90.00
With the nearest neighbours (Å) after each atom.
Atoms (fractional coordinates):
Cl (0.0000, 0.0000, 0.0000)  6 Cu 2.23
Cu (0.5000, 0.0000, 0.0000)  2 Cl 2.23
Cu (0.0000, 0.5000, 0.0000)  2 Cl 2.23
Cu (0.0000, 0.0000, 0.5000)  2 Cl 2.23
As (0.5000, 0.5000, 0.5000)  12 Cu 3.15

2.
# Cu2AsCl4

Crystalline Cu2AsCl4 at its relaxed geometry (PBE, the Alexandria database).

DFT total energy, eV per atom: -3.111
E_form (uncorrected), eV/atom: -0.221
Volume, Å³/f.u.: 154.7
Symmetry: I-42m

Unit cell a=5.8288 b=5.8288 c=6.1407 alpha=118.33 beta=118.33 gamma=90.00
With the nearest neighbours (Å) after each atom.
Atoms (fractional coordinates):
As (0.5000, 0.5000, 0.0000)  4 Cl 2.57
Cu (0.7500, 0.2500, 0.5000)  4 Cl 2.37
Cl (0.0959, 0.0959, 0.7520)  2 Cu 2.37, 1 As 2.57
Cl (0.9041, 0.3439, 0.2480)  2 Cu 2.37, 1 As 2.57
Cu (0.2500, 0.7500, 0.5000)  4 Cl 2.37
Cl (0.3439, 0.9041, 0.2480)  2 Cu 2.37, 1 As 2.57
Cl (0.6561, 0.6561, 0.7520)  2 Cu 2.37, 1 As 2.57

Among the records above, which one has the highest DFT total energy?
Cu3AsCl